## ScGaSbI2 (PBE)

Data for a relaxed structure of ScGaSbI2.

Computed properties:
**Space-group type**: P4/mmm
**Crystal system**: tetragonal
**Total magnetization**: 0.5 μB/f.u.
**E above lowest polymorph**: 0 meV/atom

a b c (Å): 5.707 5.707 5.715
angles (deg): 90.00 90.00 90.00
Each line ends with the local moment (μB).
Element x y z (fractional)
I 0.000 0.500 0.000  0.03
I 0.500 0.000 0.000  0.03
Sb 0.000 0.000 0.500  0.14
Sc 0.000 0.000 0.000  0.00
Ga 0.500 0.500 0.500  0.01